A plane-wave DFT calculation with PBE-GGA was carried out for a relaxed CoIr4Au crystal.

a = 5.1721 Å, b = 5.1721 Å, c = 5.1721 Å
α = 60.00°, β = 60.00°, γ = 60.00°
Site moments in Bohr magnetons follow the coordinates.
Positions (direct):
Co1 0.0000 0.0000 0.0000  2.23
Ir1 0.6252 0.6252 0.1243  0.68
Ir2 0.6252 0.1243 0.6252  0.68
Ir3 0.6252 0.6252 0.6252  0.68
Ir4 0.1243 0.6252 0.6252  0.68
Au1 0.2500 0.2500 0.2500  0.10

Properties
V: 97.8 Å³ per cell
E_tot: -0.512 Ry/atom
DFT formation energy: 0.671 eV/atom

A plane-wave DFT calculation with PBE-GGA was carried out for a relaxed TaMo6W crystal.

a = 4.5096 Å, b = 4.5096 Å, c = 7.6413 Å
α = 78.80°, β = 78.80°, γ = 73.35°
Positions (direct):
Ta1 0.5000 0.5000 0.5000
Mo1 0.4672 0.9424 0.7078
Mo2 0.9424 0.4672 0.7078
Mo3 0.0576 0.5328 0.2922
Mo4 0.5328 0.0576 0.2922
Mo5 0.6291 0.6291 0.0834
Mo6 0.3709 0.3709 0.9166
W1 0.0000 0.0000 0.0000

Properties
Energy relative to the lowest polymorph listed for this composition: 461 meV/atom
V: 144.4 Å³ per cell
E_tot: -0.773 Ry/atom
DFT formation energy: 0.707 eV/atom

A plane-wave DFT calculation with PBE-GGA was carried out for a relaxed CsLaO2 crystal.

a = 5.5568 Å, b = 5.5568 Å, c = 6.9252 Å
α = 66.35°, β = 66.35°, γ = 90.00°
Positions (direct):
Cs1 0.0000 0.0000 0.0000
Cs2 0.7500 0.2500 0.5000
O1 0.6989 0.6989 0.6022
O2 0.0511 0.5511 0.8978
O3 0.3011 0.3011 0.3978
O4 0.4489 0.9489 0.1022
La1 0.5000 0.5000 0.0000
La2 0.2500 0.7500 0.5000

Properties
V: 176.1 Å³ per cell
E_tot: -0.459 Ry/atom
Formation energy without anion corrections: -2.3169 eV/atom

A plane-wave DFT calculation with PBE-GGA was carried out for a relaxed Dy2ErTh crystal.

a = 7.1180 Å, b = 7.1177 Å, c = 6.1361 Å
α = 90.00°, β = 125.45°, γ = 90.00°
Positions (direct):
Dy1 0.2500 0.4999 0.4999
Dy2 0.7500 0.5001 0.5001
Dy3 0.2500 0.9999 0.4999
Dy4 0.7500 0.0001 0.5001
Er1 0.7501 0.2500 0.0000
Er2 0.2499 0.7500 0.0000
Th1 0.7498 0.7500 0.0000
Th2 0.2502 0.2500 0.0000

Properties
Energy relative to the lowest polymorph listed for this composition: 26 meV/atom
V: 253.2 Å³ per cell
E_tot: -0.386 Ry/atom
DFT formation energy: 0.052 eV/atom

A plane-wave DFT calculation with PBE-GGA was carried out for a relaxed Zr2PbW crystal.

a = 5.4906 Å, b = 5.4906 Å, c = 5.4906 Å
α = 139.19°, β = 127.00°, γ = 68.98°
Positions (direct):
Pb1 0.2500 0.7500 0.5000
W1 0.7500 0.2500 0.5000
Zr1 0.9761 0.9761 0.0000
Zr2 0.5239 0.5239 0.0000

Properties
V: 84.9 Å³ per cell
E_tot: -0.607 Ry/atom
DFT formation energy: 0.184 eV/atom

A plane-wave DFT calculation with PBE-GGA was carried out for a relaxed LaZn2CdOs crystal.

a = 4.7379 Å, b = 6.0296 Å, c = 4.7379 Å
α = 90.00°, β = 90.00°, γ = 90.00°
Site moments in Bohr magnetons follow the coordinates.
Positions (direct):
Zn1 0.0000 0.0000 0.5000  0.01
Zn2 0.5000 0.0000 0.0000  0.00
Cd1 0.0000 0.0000 0.0000  0.01
Os1 0.5000 0.5000 0.5000  1.74
La1 0.0000 0.5000 0.0000  -0.12

Properties
V: 135.4 Å³ per cell
E_tot: -0.206 Ry/atom
DFT formation energy: 1.117 eV/atom

A plane-wave DFT calculation with PBE-GGA was carried out for a relaxed RbSb3Pt crystal.

a = 5.4618 Å, b = 5.4618 Å, c = 5.4618 Å
α = 90.00°, β = 90.00°, γ = 90.00°
Positions (direct):
Sb1 0.0000 0.5000 0.0000
Sb2 0.0000 0.0000 0.5000
Sb3 0.5000 0.0000 0.0000
Rb1 0.5000 0.5000 0.5000
Pt1 0.0000 0.0000 0.0000

Properties
Energy relative to the lowest polymorph listed for this composition: 395 meV/atom
V: 162.9 Å³ per cell
E_tot: -0.279 Ry/atom
Formation energy without anion corrections: 0.0774 eV/atom

A plane-wave DFT calculation with PBE-GGA was carried out for a relaxed BePb2O crystal.

a = 4.7167 Å, b = 4.7167 Å, c = 4.7167 Å
α = 60.00°, β = 60.00°, γ = 60.00°
Positions (direct):
Pb1 0.2500 0.2500 0.2500
Pb2 0.7500 0.7500 0.7500
Be1 0.0000 0.0000 0.0000
O1 0.5000 0.5000 0.5000

Properties
Energy relative to the lowest polymorph listed for this composition: 363 meV/atom
V: 74.2 Å³ per cell
E_tot: -0.270 Ry/atom
Formation energy without anion corrections: 0.3549 eV/atom

A plane-wave DFT calculation with PBE-GGA was carried out for a relaxed Y6HoAg crystal.

a = 9.3427 Å, b = 8.4515 Å, c = 6.3003 Å
α = 47.86°, β = 42.13°, γ = 56.45°
Positions (direct):
Y1 0.0455 0.4300 0.7619
Y2 0.7628 0.9547 0.7124
Y3 0.5700 0.2373 0.1472
Y4 0.2372 0.0453 0.2876
Y5 0.9545 0.5700 0.2381
Y6 0.4300 0.7627 0.8528
Ho1 0.5000 0.5000 0.5000
Ag1 0.0000 0.0000 0.0000

Properties
V: 245.9 Å³ per cell
E_tot: -0.422 Ry/atom
DFT formation energy: 0.037 eV/atom

A plane-wave DFT calculation with PBE-GGA was carried out for a relaxed CoBRu2I crystal.

a = 4.0677 Å, b = 4.7920 Å, c = 4.0677 Å
α = 90.00°, β = 90.00°, γ = 90.00°
Site moments in Bohr magnetons follow the coordinates.
Positions (direct):
I1 0.0000 0.5000 0.0000  0.09
Ru1 0.0000 0.0000 0.5000  0.71
Ru2 0.5000 0.0000 0.0000  0.70
B1 0.0000 0.0000 0.0000  -0.03
Co1 0.5000 0.5000 0.5000  1.90

Properties
V: 79.3 Å³ per cell
E_tot: -0.412 Ry/atom
Formation energy without anion corrections: 1.1721 eV/atom

A plane-wave DFT calculation with PBE-GGA was carried out for a relaxed In2FeAs crystal.

a = 3.0294 Å, b = 3.0294 Å, c = 8.5287 Å
α = 90.00°, β = 90.00°, γ = 90.18°
Site moments in Bohr magnetons follow the coordinates.
Positions (direct):
As1 0.5000 0.5000 0.2500  -0.01
Fe1 0.5000 0.5000 0.7500  2.42
In1 0.0000 0.0000 0.9649  -0.03
In2 0.0000 0.0000 0.5351  -0.03

Properties
V: 78.3 Å³ per cell
E_tot: -0.316 Ry/atom
DFT formation energy: 0.342 eV/atom

A plane-wave DFT calculation with PBE-GGA was carried out for a relaxed Hf3CoRu2 crystal.

a = 3.2229 Å, b = 3.2229 Å, c = 9.5814 Å
α = 90.00°, β = 90.00°, γ = 90.00°
Positions (direct):
Hf1 0.0000 0.0000 0.0000
Hf2 0.0000 0.0000 0.6605
Hf3 0.0000 0.0000 0.3395
Co1 0.5000 0.5000 0.5000
Ru1 0.5000 0.5000 0.8296
Ru2 0.5000 0.5000 0.1704

Properties
V: 99.5 Å³ per cell
E_tot: -0.729 Ry/atom
DFT formation energy: -0.661 eV/atom